No. 1
The following is a PBE calculation of a relaxed La6Rh2AuI3 crystal, from the Alexandria database.

Geometry as POSCAR:
```
La6Rh2AuI3
1.0
7.469 -0.002 0.000
-3.734 6.468 0.000
-1.246 -2.158 8.251
I Rh Au La
3 2 1 6
direct
0.835 0.165 0.500 I
0.500 0.500 0.500 I
0.165 0.835 0.500 I
0.333 0.667 0.000 Rh
0.667 0.333 0.000 Rh
0.000 0.000 0.000 Au
0.063 0.413 0.189 La
0.287 0.287 0.811 La
0.587 0.937 0.811 La
0.937 0.587 0.811 La
0.713 0.713 0.189 La
0.413 0.063 0.189 La
```

Computed properties:
The total magnetic moment is 0.000 μB per formula unit. As for the crystal system: monoclinic. Its symmetry is C2/m (12). The calculation puts the calculated density at 6.7 g/cm³. The energy relative to the elements, uncorrected is -1.014 eV/atom.

---

No. 2
The following is a PBE calculation of a relaxed La4RuAuI2 crystal, from the Alexandria database.

Geometry as POSCAR:
```
La4RuAuI2
1.0
4.313 0.000 0.000
0.000 7.538 0.142
0.000 -2.646 8.187
I Au La Ru
2 1 4 1
direct
0.000 0.500 0.500 I
0.500 0.000 0.500 I
0.000 0.000 0.000 Au
0.500 0.744 0.810 La
0.500 0.256 0.190 La
0.000 0.284 0.811 La
0.000 0.716 0.189 La
0.500 0.500 0.000 Ru
```

Computed properties:
The total magnetic moment is 0.000 μB per formula unit. As for the crystal system: monoclinic. Its symmetry is P2/m (10). The calculation puts the calculated density at 6.9 g/cm³. The energy relative to the elements, uncorrected is -0.900 eV/atom.

---

No. 3
The following is a PBE calculation of a relaxed La4AuSI2 crystal, from the Alexandria database.

Geometry as POSCAR:
```
La4AuSI2
1.0
4.248 0.000 0.000
0.000 7.517 0.119
0.000 -2.663 7.953
S La Au I
1 4 1 2
direct
0.000 0.000 0.000 S
0.500 0.786 0.799 La
0.500 0.214 0.201 La
0.000 0.255 0.796 La
0.000 0.745 0.204 La
0.500 0.500 0.000 Au
0.500 0.000 0.500 I
0.000 0.500 0.500 I
```

Computed properties:
The total magnetic moment is 0.000 μB per formula unit. As for the crystal system: monoclinic. Its symmetry is P2/m (10). The calculation puts the calculated density at 6.8 g/cm³. The energy relative to the elements, uncorrected is -1.261 eV/atom.

---

No. 4
The following is a PBE calculation of a relaxed LaSbAuI2 crystal, from the Alexandria database.

Geometry as POSCAR:
```
LaSbAuI2
1.0
5.499 0.000 0.000
0.000 5.499 0.000
0.000 0.000 5.687
Au La I Sb
1 1 2 1
direct
0.000 0.000 0.000 Au
0.500 0.500 0.500 La
0.500 0.000 0.000 I
0.000 0.500 0.000 I
0.000 0.000 0.500 Sb
```

Computed properties:
The total magnetic moment is 0.155 μB per formula unit. As for the crystal system: tetragonal. Its symmetry is P4/mmm (123). The calculation puts the calculated density at 6.9 g/cm³. The energy relative to the elements, uncorrected is -0.194 eV/atom.

---

No. 5
The following is a PBE calculation of a relaxed LaSbAuI2 crystal, from the Alexandria database.

Geometry as POSCAR:
```
LaSbAuI2
1.0
-4.314 -4.354 0.026
1.193 -1.217 -5.888
4.548 -4.496 1.851
I Au Sb La
2 1 1 1
direct
0.000 0.500 0.000 I
0.500 0.000 0.000 I
0.500 0.500 0.500 Au
0.000 0.000 0.500 Sb
0.000 0.000 0.000 La
```

Computed properties:
The total magnetic moment is 1.144 μB per formula unit. As for the crystal system: tetragonal. Its symmetry is P4/mmm (123). The calculation puts the calculated density at 4.7 g/cm³. The energy relative to the elements, uncorrected is -0.060 eV/atom.

---

No. 6
The following is a PBE calculation of a relaxed LaSb2AuI crystal, from the Alexandria database.

Geometry as POSCAR:
```
LaSb2AuI
1.0
5.412 0.000 0.000
0.000 5.412 0.000
0.000 0.000 5.589
I Sb La Au
1 2 1 1
direct
0.000 0.000 0.500 I
0.500 0.000 0.000 Sb
0.000 0.500 0.000 Sb
0.500 0.500 0.500 La
0.000 0.000 0.000 Au
```

Computed properties:
The total magnetic moment is 0.000 μB per formula unit. As for the crystal system: tetragonal. Its symmetry is P4/mmm (123). The calculation puts the calculated density at 7.2 g/cm³. The energy relative to the elements, uncorrected is -0.116 eV/atom.

---

No. 7
The following is a PBE calculation of a relaxed LaSb2AuI crystal, from the Alexandria database.

Geometry as POSCAR:
```
LaSb2AuI
1.0
6.230 0.000 0.000
0.000 6.230 0.000
0.000 0.000 6.066
I La Au Sb
1 1 1 2
direct
0.000 0.000 0.500 I
0.000 0.000 0.000 La
0.500 0.500 0.500 Au
0.500 0.000 0.000 Sb
0.000 0.500 0.000 Sb
```

Computed properties:
The total magnetic moment is 1.143 μB per formula unit. As for the crystal system: tetragonal. Its symmetry is P4/mmm (123). The calculation puts the calculated density at 5.0 g/cm³. The energy relative to the elements, uncorrected is 0.450 eV/atom.

---

No. 8
The following is a PBE calculation of a relaxed La8Au3SeI4 crystal, from the Alexandria database.

Geometry as POSCAR:
```
La8Au3SeI4
1.0
-3.615 0.023 -8.114
-4.220 -8.050 1.857
-1.335 6.868 5.476
La I Se Au
8 4 1 3
direct
0.259 0.284 0.021 La
0.238 0.716 0.475 La
0.266 0.297 0.531 La
0.238 0.716 0.979 La
0.762 0.284 0.525 La
0.734 0.703 0.469 La
0.741 0.716 0.979 La
0.762 0.284 0.021 La
0.500 0.000 0.500 I
0.500 0.000 0.000 I
0.000 0.000 0.500 I
0.000 0.000 0.000 I
0.000 0.500 0.000 Se
0.500 0.500 0.500 Au
0.000 0.500 0.500 Au
0.500 0.500 0.000 Au
```

Computed properties:
The total magnetic moment is 0.000 μB per formula unit. As for the crystal system: trigonal. Its symmetry is R-3m (166). The calculation puts the calculated density at 7.2 g/cm³. The energy relative to the elements, uncorrected is -1.065 eV/atom.

---

total magnetic moment of number 7 (LaSb2AuI)?
1.143 μB per formula unit